Pm7Y3Tm2 (PBE, relaxed); energy relative to the lowest polymorph listed for this composition = 0.187 eV/atom; V = 34.93 Å³ per atom; energy of formation = 0.274 eV/atom
1.0
-0.155 5.760 3.197
1.207 0.209 6.475
11.208 3.430 1.154
Y Pm Tm
3 7 2
Direct
0.849 0.849 0.454
0.000 0.000 0.000
0.151 0.151 0.546
0.500 0.500 0.500
0.923 0.412 0.252
0.412 0.412 0.252
0.588 0.077 0.748
0.588 0.588 0.748
0.412 0.923 0.252
0.077 0.588 0.748
0.666 0.666 0.003
0.334 0.334 0.997